The following is a DFT calculation (PBE with a Hubbard U) of a geometry-optimized VBiPtO5 structure.

Results
As for the calculated total energy: -6.3825 eV per atom.

Unit cell a=5.754 b=5.754 c=8.687 alpha=101.85 beta=101.85 gamma=110.34
Atoms (fractional coordinates):
Pt 0.306 0.694 0.250
Pt 0.694 0.306 0.750
O 0.727 0.560 0.413
O 0.440 0.273 0.087
O 0.633 0.017 0.309
O 0.901 0.099 0.750
O 0.099 0.901 0.250
O 0.017 0.633 0.809
O 0.367 0.983 0.691
O 0.983 0.367 0.191
O 0.560 0.727 0.913
O 0.273 0.440 0.587
V 0.311 0.689 0.750
V 0.689 0.311 0.250
Bi 0.000 0.000 0.500
Bi 0.000 0.000 0.000